[1]
The following is a DFT calculation (PBE) of crystalline Cs2SO5 at its relaxed geometry.

Cell: 6.4289 6.4289 6.4571 Å, 119.85 119.85 90.00°
Each line ends with the local moment (μB).
Atoms (fractional coordinates):
Cs1 0.2433 0.7433 0.4866  0.00
Cs2 0.7433 0.2433 0.4866  0.00
S1 0.9596 0.9596 0.9192  0.00
O1 0.8412 0.1762 0.0174  0.02
O2 0.1762 0.1762 0.0174  0.02
O3 0.8412 0.8412 0.0174  0.02
O4 0.1762 0.8412 0.0174  0.02
O5 0.7960 0.7960 0.5921  0.08

## Properties
- E_tot: -5.042 eV per atom
- Volume: 23.7 Å³ per atom
- Formation energy without anion corrections: -1.214 eV per atom
- Density: 3311 kg/m³

[2]
The following is a DFT calculation (PBE) of crystalline Ag2Pt2N at its relaxed geometry.

Cell: 3.5573 3.5573 7.6476 Å, 76.55 76.55 90.00°
Atoms (fractional coordinates):
Ag1 0.4082 0.4082 0.1835
Ag2 0.5918 0.5918 0.8165
Pt1 0.7500 0.2500 0.5000
Pt2 0.2500 0.7500 0.5000
N1 0.0000 0.0000 0.0000

## Properties
- E_tot: -3.902 eV per atom
- Volume: 18.3 Å³ per atom
- ΔE to the lowest computed polymorph: 269 meV/atom
- Formation energy without anion corrections: 1.320 eV per atom
- Density: 11264 kg/m³

[3]
The following is a DFT calculation (PBE) of crystalline Cs2TcCBr6 at its relaxed geometry.

Cell: 7.3829 7.3829 7.8927 Å, 62.11 62.11 90.00°
Each line ends with the local moment (μB).
Atoms (fractional coordinates):
Cs1 0.7500 0.2500 0.5000  0.00
Cs2 0.2500 0.7500 0.5000  0.00
C1 0.5000 0.5000 0.0000  0.70
Tc1 0.0000 0.0000 0.0000  2.86
Br1 0.2145 0.2145 0.5710  0.05
Br2 0.7855 0.7855 0.4290  0.05
Br3 0.2538 0.2538 0.0000  0.05
Br4 0.7462 0.7462 0.0000  0.05
Br5 0.7462 0.2538 0.0000  0.04
Br6 0.2538 0.7462 0.0000  0.04

## Properties
- E_tot: -3.432 eV per atom
- Volume: 32.3 Å³ per atom
- Formation energy without anion corrections: -0.298 eV per atom
- Density: 4401 kg/m³

[4]
The following is a DFT calculation (PBE) of crystalline TbSi3IrRu at its relaxed geometry.

Cell: 5.5493 6.2249 7.4441 Å, 114.72 90.00 90.00°
Atoms (fractional coordinates):
Tb1 0.7500 0.1851 0.3702
Tb2 0.2500 0.8149 0.6298
Si1 0.2500 0.2274 0.4549
Si2 0.0000 0.2872 0.0000
Si3 0.5000 0.7128 0.0000
Si4 0.5000 0.2872 0.0000
Si5 0.0000 0.7128 0.0000
Si6 0.7500 0.7726 0.5451
Ir1 0.2500 0.3932 0.7864
Ir2 0.7500 0.6068 0.2136
Ru1 0.2500 0.0628 0.1256
Ru2 0.7500 0.9372 0.8744

## Properties
- E_tot: -7.039 eV per atom
- Volume: 19.5 Å³ per atom
- Formation energy without anion corrections: -0.533 eV per atom
- Density: 7627 kg/m³